(1)
Ho2HRh after structural relaxation. Source: the Alexandria database, functional PBE-GGA.

Values from the calculation:
The value obtained for the total magnetic moment is 0.00 Bohr magnetons per cell. For the polymorph energy (0 for the lowest one), the calculation gives 0.000 eV/atom. The uncorrected energy comes out at -5.6576 eV per atom.

a b c (Å): 3.6601 6.7340 7.0733
angles (deg): 112.87 105.01 89.97
Last column: nearest neighbours and their distance in Å.
Sites, in units of the cell vectors:
1 Ho 0.3433 0.0371 0.2612  2 H 2.18-2.22
2 Ho 0.0435 0.5227 0.6620  2 H 2.27
3 Ho 0.6174 0.0369 0.8089  2 H 2.27
4 Ho 0.3176 0.5225 0.2097  2 H 2.18-2.22
5 H 0.2204 0.1754 0.0152  4 Ho 2.18-2.27
6 H 0.4405 0.3842 0.4557  4 Ho 2.18-2.27
7 Rh 0.7118 0.7069 0.9985  7 Ho 2.81-2.99, 1 Rh 2.98
8 Rh 0.9490 0.8526 0.4724  7 Ho 2.81-2.99, 1 Rh 2.98

---

(2)
Ho8Er5Tm after structural relaxation. Source: the Alexandria database, functional PBE-GGA.

Values from the calculation:
The value obtained for the total magnetic moment is 0.00 Bohr magnetons per cell. The uncorrected energy comes out at -4.3042 eV per atom. For the energy relative to the elements, the calculation gives 0.26 eV per atom.

a b c (Å): 8.3378 8.3377 8.3378
angles (deg): 110.88 106.69 110.88
Last column: nearest neighbours and their distance in Å.
Sites, in units of the cell vectors:
1 Ho 0.1628 0.7374 0.0790  4 Er 3.08-3.41, 1 Tm 3.21
2 Ho 0.9210 0.0838 0.6584  4 Er 3.08-3.41, 1 Tm 3.21
3 Ho 0.7303 0.2543 0.3361  5 Er 3.27-3.48, 3 Ho 3.55-3.59
4 Ho 0.6639 0.3943 0.9182  5 Er 3.27-3.48, 3 Ho 3.55-3.59
5 Ho 0.5239 0.6057 0.2697  5 Er 3.27-3.48, 3 Ho 3.55-3.59
6 Ho 0.5746 0.9162 0.8372  4 Er 3.08-3.41, 1 Tm 3.21
7 Ho 0.3416 0.2626 0.4254  4 Er 3.08-3.41, 1 Tm 3.21
8 Ho 0.0818 0.7457 0.4761  5 Er 3.27-3.48, 3 Ho 3.55-3.59
9 Er 0.0349 0.3208 0.1343  8 Ho 3.29-3.49, 2 Er 3.52
10 Er 0.8657 0.9006 0.1865  8 Ho 3.29-3.49, 2 Er 3.52
11 Er 0.8135 0.6792 0.7141  8 Ho 3.29-3.49, 2 Er 3.52
12 Er 0.5000 0.0000 0.5000  8 Ho 3.08-3.27
13 Er 0.2859 0.0994 0.9651  8 Ho 3.29-3.49, 2 Er 3.52
14 Tm 0.2500 0.5000 0.7500  4 Ho 3.21

---

(3)
CdWAu after structural relaxation. Source: the Alexandria database, functional PBE-GGA.

Values from the calculation:
The value obtained for the total magnetic moment is 0.37 Bohr magnetons per cell. For the polymorph energy (0 for the lowest one), the calculation gives 0.808 eV/atom. The uncorrected energy comes out at -4.5437 eV per atom. For the energy relative to the elements, the calculation gives 1.17 eV per atom.

a b c (Å): 4.4934 4.4934 4.4934
angles (deg): 60.00 60.00 60.00
Last column: nearest neighbours and their distance in Å.
Sites, in units of the cell vectors:
1 Au 0.0000 0.0000 0.0000  4 W 2.75
2 W 0.7500 0.7500 0.7500  4 Cd 2.75, 4 Au 2.75
3 Cd 0.5000 0.5000 0.5000  4 W 2.75

---

(4)
MnB2Pt2 after structural relaxation. Source: the Alexandria database, functional PBE-GGA.

Values from the calculation:
The value obtained for the total magnetic moment is 0.00 Bohr magnetons per cell. For the polymorph energy (0 for the lowest one), the calculation gives 0.262 eV/atom. The uncorrected energy comes out at -6.7252 eV per atom. For the energy relative to the elements, the calculation gives 0.20 eV per atom.

a b c (Å): 6.1176 6.1176 2.9340
angles (deg): 90.00 90.00 90.00
Last column: nearest neighbours and their distance in Å.
Sites, in units of the cell vectors:
1 B 0.3475 0.8475 0.0000  6 Pt 2.17-2.42, 2 Mn 2.32
2 B 0.8475 0.6525 0.0000  6 Pt 2.17-2.42, 2 Mn 2.32
3 B 0.6525 0.1525 0.0000  6 Pt 2.17-2.42, 2 Mn 2.32
4 B 0.1525 0.3475 0.0000  6 Pt 2.17-2.42, 2 Mn 2.32
5 Mn 0.0000 0.0000 0.0000  4 B 2.32
6 Mn 0.5000 0.5000 0.0000  4 B 2.32
7 Pt 0.1621 0.6621 0.5000  6 B 2.17-2.42
8 Pt 0.6621 0.8379 0.5000  6 B 2.17-2.42
9 Pt 0.8379 0.3379 0.5000  6 B 2.17-2.42
10 Pt 0.3379 0.1621 0.5000  6 B 2.17-2.42

---

(5)
ZnSb2Pd9 after structural relaxation. Source: the Alexandria database, functional PBE-GGA.

Values from the calculation:
The value obtained for the total magnetic moment is 0.00 Bohr magnetons per cell. The uncorrected energy comes out at -5.0752 eV per atom. The raw formation energy comes out at -387.3 meV/atom.

a b c (Å): 4.0190 4.0190 11.9469
angles (deg): 90.00 90.00 90.00
Last column: nearest neighbours and their distance in Å.
Sites, in units of the cell vectors:
1 Zn 0.0000 0.0000 0.0000  12 Pd 2.78-2.84
2 Sb 0.0000 0.0000 0.3217  12 Pd 2.78-2.93
3 Sb 0.0000 0.0000 0.6783  12 Pd 2.78-2.93
4 Pd 0.5000 0.5000 0.0000  8 Pd 2.78, 4 Zn 2.84
5 Pd 0.5000 0.5000 0.3338  8 Pd 2.82-2.88, 4 Sb 2.85
6 Pd 0.5000 0.5000 0.6662  8 Pd 2.82-2.88, 4 Sb 2.85
7 Pd 0.5000 0.0000 0.1610  2 Sb 2.78, 8 Pd 2.78-2.88, 2 Zn 2.78
8 Pd 0.5000 0.0000 0.5000  8 Pd 2.82-2.84, 4 Sb 2.93
9 Pd 0.5000 0.0000 0.8390  2 Sb 2.78, 8 Pd 2.78-2.88, 2 Zn 2.78
10 Pd 0.0000 0.5000 0.1610  2 Sb 2.78, 2 Zn 2.78, 8 Pd 2.78-2.88
11 Pd 0.0000 0.5000 0.5000  8 Pd 2.82-2.84, 4 Sb 2.93
12 Pd 0.0000 0.5000 0.8390  2 Sb 2.78, 2 Zn 2.78, 8 Pd 2.78-2.88

---

(6)
Ac3PrAg6 after structural relaxation. Source: the Alexandria database, functional PBE-GGA.

Values from the calculation:
The value obtained for the total magnetic moment is 0.00 Bohr magnetons per cell. The uncorrected energy comes out at -3.0325 eV per atom. For the energy relative to the elements, the calculation gives 0.39 eV per atom.

a b c (Å): 7.9151 7.9151 7.9151
angles (deg): 60.00 60.00 60.00
Last column: nearest neighbours and their distance in Å.
Sites, in units of the cell vectors:
1 Ac 0.7500 0.7500 0.7500  12 Ag 3.96
2 Ac 0.2500 0.2500 0.2500  12 Ag 3.96
3 Ac 0.5000 0.5000 0.5000  6 Ag 2.84
4 Pr 0.0000 0.0000 0.0000  6 Ag 2.76
5 Ag 0.7537 0.7537 0.2463  1 Pr 2.76, 1 Ac 2.84
6 Ag 0.2463 0.7537 0.7537  1 Pr 2.76, 1 Ac 2.84
7 Ag 0.2463 0.7537 0.2463  1 Pr 2.76, 1 Ac 2.84
8 Ag 0.7537 0.2463 0.2463  1 Pr 2.76, 1 Ac 2.84
9 Ag 0.7537 0.2463 0.7537  1 Pr 2.76, 1 Ac 2.84
10 Ag 0.2463 0.2463 0.7537  1 Pr 2.76, 1 Ac 2.84

---

(7)
Ba2Cd7Hg after structural relaxation. Source: the Alexandria database, functional PBE-GGA.

Values from the calculation:
The value obtained for the total magnetic moment is 0.00 Bohr magnetons per cell. The uncorrected energy comes out at -1.3370 eV per atom. For the energy relative to the elements, the calculation gives -0.28 eV per atom.

a b c (Å): 4.7678 4.7678 12.9188
angles (deg): 90.00 90.00 90.00
Last column: nearest neighbours and their distance in Å.
Sites, in units of the cell vectors:
1 Ba 0.5000 0.0000 0.7517  14 Cd 3.66-4.03, 2 Hg 4.00
2 Ba 0.0000 0.5000 0.2483  14 Cd 3.66-4.03, 2 Hg 4.00
3 Cd 0.0000 0.5000 0.8615  3 Cd 2.89-2.98, 2 Hg 2.98
4 Cd 0.5000 0.0000 0.3622  5 Cd 2.89-2.98
5 Cd 0.5000 0.0000 0.1385  3 Cd 2.89-2.98, 2 Hg 2.98
6 Cd 0.0000 0.5000 0.6378  5 Cd 2.89-2.98
7 Cd 0.0000 0.0000 0.5000  4 Cd 2.98
8 Cd 0.0000 0.0000 0.0000  4 Cd 2.98
9 Cd 0.5000 0.5000 0.5000  4 Cd 2.98
10 Hg 0.5000 0.5000 0.0000  4 Cd 2.98

---

(8)
Rb2PmYO4 after structural relaxation. Source: the Alexandria database, functional PBE-GGA.

Values from the calculation:
The value obtained for the total magnetic moment is 0.00 Bohr magnetons per cell. The uncorrected energy comes out at -6.7517 eV per atom. The raw formation energy comes out at -2628.9 meV/atom.

a b c (Å): 3.5794 6.1972 6.8992
angles (deg): 107.36 90.00 90.00
Last column: nearest neighbours and their distance in Å.
Sites, in units of the cell vectors:
1 Rb 0.5000 0.0000 0.5000  6 O 2.94-2.95
2 Rb 0.0000 0.5000 0.5000  6 O 2.98-2.99
3 Pm 0.5000 0.5000 0.0000  6 O 2.40
4 Y 0.0000 0.0000 0.0000  6 O 2.34-2.36
5 O 0.5000 0.2197 0.1773  2 Y 2.36, 1 Pm 2.40
6 O 0.5000 0.7803 0.8227  2 Y 2.36, 1 Pm 2.40
7 O 0.0000 0.2674 0.8217  1 Y 2.34, 2 Pm 2.40
8 O 0.0000 0.7326 0.1783  1 Y 2.34, 2 Pm 2.40

---

(9)
Pa3Al9Rh2 after structural relaxation. Source: the Alexandria database, functional PBE-GGA.

Values from the calculation:
The value obtained for the total magnetic moment is 0.00 Bohr magnetons per cell. The uncorrected energy comes out at -5.9807 eV per atom. For the energy relative to the elements, the calculation gives -0.49 eV per atom.

a b c (Å): 4.3380 8.0991 8.0991
angles (deg): 75.50 74.47 74.47
Last column: nearest neighbours and their distance in Å.
Sites, in units of the cell vectors:
1 Pa 0.0000 0.0000 0.0000  12 Al 3.14-3.18
2 Pa 0.6843 0.3157 0.3157  2 Rh 3.00, 10 Al 3.10-3.17
3 Pa 0.3157 0.6843 0.6843  2 Rh 3.00, 10 Al 3.10-3.17
4 Al 0.0000 0.5000 0.5000  4 Al 2.66, 4 Rh 2.96
5 Al 0.6599 0.9715 0.7088  1 Rh 2.53, 4 Al 2.61-2.75
6 Al 0.3401 0.0285 0.2912  1 Rh 2.53, 4 Al 2.61-2.75
7 Al 0.6599 0.7088 0.9715  1 Rh 2.53, 4 Al 2.61-2.75
8 Al 0.3401 0.2912 0.0285  1 Rh 2.53, 4 Al 2.61-2.75
9 Al 0.8757 0.8458 0.4029  2 Rh 2.64, 4 Al 2.65-2.75
10 Al 0.1243 0.1542 0.5971  2 Rh 2.64, 4 Al 2.65-2.75
11 Al 0.8757 0.4029 0.8458  2 Rh 2.64, 4 Al 2.65-2.75
12 Al 0.1243 0.5971 0.1542  2 Rh 2.64, 4 Al 2.65-2.75
13 Rh 0.5000 0.2970 0.7030  6 Al 2.53-2.64
14 Rh 0.5000 0.7030 0.2970  6 Al 2.53-2.64

---

(10)
InFeAg2 after structural relaxation. Source: the Alexandria database, functional PBE-GGA.

Values from the calculation:
The value obtained for the total magnetic moment is 2.68 Bohr magnetons per cell. The uncorrected energy comes out at -3.9585 eV per atom. For the energy relative to the elements, the calculation gives 0.27 eV per atom.

a b c (Å): 4.6273 4.6273 4.6273
angles (deg): 60.00 60.00 60.00
Last column: nearest neighbours and their distance in Å.
Sites, in units of the cell vectors:
1 Ag 0.0000 0.0000 0.0000  4 Ag 2.83, 4 In 2.83
2 Ag 0.2500 0.2500 0.2500  4 Fe 2.83, 4 Ag 2.83
3 Fe 0.5000 0.5000 0.5000  4 In 2.83, 4 Ag 2.83
4 In 0.7500 0.7500 0.7500  4 Ag 2.83, 4 Fe 2.83

---

(11)
Rb2TiAg2S4 after structural relaxation. Source: the Alexandria database, functional PBE-GGA.

Values from the calculation:
The value obtained for the total magnetic moment is 0.00 Bohr magnetons per cell. The uncorrected energy comes out at -4.5490 eV per atom. The raw formation energy comes out at -988.7 meV/atom.

a b c (Å): 6.0238 6.0238 13.4724
angles (deg): 90.00 90.00 90.00
Last column: nearest neighbours and their distance in Å.
Sites, in units of the cell vectors:
1 Rb 0.2617 0.2617 0.0000  8 S 3.49-3.72
2 Rb 0.7383 0.7383 0.0000  8 S 3.49-3.72
3 Rb 0.7383 0.2617 0.5000  8 S 3.49-3.72
4 Rb 0.2617 0.7383 0.5000  8 S 3.49-3.72
5 Ti 0.0000 0.0000 0.2500  4 S 2.31
6 Ti 0.0000 0.0000 0.7500  4 S 2.31
7 Ag 0.0000 0.5000 0.2500  4 S 2.57
8 Ag 0.0000 0.5000 0.7500  4 S 2.57
9 Ag 0.5000 0.0000 0.7500  4 S 2.57
10 Ag 0.5000 0.0000 0.2500  4 S 2.57
11 S 0.2150 0.2150 0.3542  1 Ti 2.31, 2 Ag 2.57
12 S 0.7850 0.7850 0.6458  1 Ti 2.31, 2 Ag 2.57
13 S 0.7850 0.7850 0.3542  1 Ti 2.31, 2 Ag 2.57
14 S 0.7850 0.2150 0.8542  1 Ti 2.31, 2 Ag 2.57
15 S 0.7850 0.2150 0.1458  1 Ti 2.31, 2 Ag 2.57
16 S 0.2150 0.2150 0.6458  1 Ti 2.31, 2 Ag 2.57
17 S 0.2150 0.7850 0.1458  1 Ti 2.31, 2 Ag 2.57
18 S 0.2150 0.7850 0.8542  1 Ti 2.31, 2 Ag 2.57

---

(12)
Pr7Sm3In after structural relaxation. Source: the Alexandria database, functional PBE-GGA.

Values from the calculation:
The value obtained for the total magnetic moment is 0.00 Bohr magnetons per cell. The uncorrected energy comes out at -4.4890 eV per atom. For the energy relative to the elements, the calculation gives 0.09 eV per atom.

a b c (Å): 8.7570 7.1898 7.1898
angles (deg): 120.00 90.00 90.00
Last column: nearest neighbours and their distance in Å.
Sites, in units of the cell vectors:
1 Pr 0.1204 0.1691 0.8309  8 Pr 3.54-3.65, 1 In 3.58, 2 Sm 3.63
2 Pr 0.1204 0.1691 0.3383  8 Pr 3.54-3.65, 1 In 3.58, 2 Sm 3.63
3 Pr 0.1100 0.6667 0.3333  3 Sm 3.56, 9 Pr 3.60-3.61
4 Pr 0.4496 0.8316 0.1684  2 Sm 3.55, 7 Pr 3.56-3.63, 2 In 3.60
5 Pr 0.4496 0.3369 0.1684  2 Sm 3.55, 7 Pr 3.56-3.63, 2 In 3.60
6 Pr 0.4496 0.8316 0.6631  2 Sm 3.55, 7 Pr 3.56-3.63, 2 In 3.60
7 Pr 0.1204 0.6617 0.8309  8 Pr 3.54-3.65, 1 In 3.58, 2 Sm 3.63
8 Sm 0.7794 0.4998 0.5002  1 In 3.51, 5 Pr 3.55-3.63, 4 Sm 3.59-3.60
9 Sm 0.7794 0.4998 0.9996  1 In 3.51, 5 Pr 3.55-3.63, 4 Sm 3.59-3.60
10 Sm 0.7794 0.0004 0.5002  1 In 3.51, 5 Pr 3.55-3.63, 4 Sm 3.59-3.60
11 In 0.4566 0.3333 0.6667  3 Sm 3.51, 9 Pr 3.58-3.60